Entry 1:
Below is DyNiAs after structural relaxation, with properties calculated at the GGA-PBEsol level.

Raw total energy: -6.51 eV/atom
Volume: 53 Å³/cell
Crystal system: hexagonal
Formation energy: -1095 meV per atom
Mass density: 9.30 g/cm3

Cell lengths 3.9929, 3.9929, 3.8289 Å; angles 90.00, 90.00, 120.00 degrees
Space group P-6m2 (No. 187)
One atom of each set of equivalent atoms:
Dy 0.0000 0.0000 0.0000 [1 per cell]
Ni 0.3333 0.6667 0.5000 [1 per cell]
As 0.6667 0.3333 0.5000 [1 per cell]


Entry 2:
Below is Dy2As7Rh12 after structural relaxation, with properties calculated at the GGA-PBEsol level.

Raw total energy: -7.54 eV/atom
Volume: 323 Å³/cell
Crystal system: trigonal
Formation energy: -718 meV per atom
Mass density: 10.71 g/cm3

Cell lengths 9.8318, 9.8318, 3.8621 Å; angles 90.00, 90.00, 120.00 degrees
Space group P-3 (No. 147)
One atom of each set of equivalent atoms:
Dy 0.3333 0.6667 0.2462 [2 per cell]
As 0.0000 0.0000 0.5000 [1 per cell]
As 0.1185 0.7120 0.7495 [6 per cell]
Rh 0.0650 0.4464 0.7488 [6 per cell]
Rh 0.1145 0.2635 0.2443 [6 per cell]


Entry 3:
Below is DyAsS after structural relaxation, with properties calculated at the GGA-PBEsol level.

Raw total energy: -6.46 eV/atom
Volume: 119 Å³/cell
Formation energy (no corrections): -1.635 eV/atom
Crystal system: tetragonal
Mass density: 7.51 g/cm3

Cell lengths 3.771, 3.771, 8.376 Å; angles 90.00, 90.00, 90.00 degrees
Space group P4/nmm (No. 129, origin choice 2)
One atom of each set of equivalent atoms:
Dy 0.250 0.250 0.209 [2 per cell]
As 0.250 0.750 0.500 [2 per cell]
S 0.250 0.250 0.874 [2 per cell]


Entry 4:
Below is DyAsS after structural relaxation, with properties calculated at the GGA-PBEsol level.

Raw total energy: -6.37 eV/atom
Volume: 242 Å³/cell
Formation energy (no corrections): -1.542 eV/atom
Crystal system: orthorhombic
Mass density: 7.39 g/cm3

Cell lengths 6.934, 3.727, 9.369 Å; angles 90.00, 90.00, 90.00 degrees
Space group Pnma (No. 62)
One atom of each set of equivalent atoms:
Dy 0.205 0.250 0.159 [4 per cell]
As 0.105 0.250 0.458 [4 per cell]
S 0.089 0.250 0.841 [4 per cell]


Entry 5:
Below is DyAsSe after structural relaxation, with properties calculated at the GGA-PBEsol level.

Raw total energy: -6.14 eV/atom
Volume: 258 Å³/cell
Formation energy (no corrections): -1.496 eV/atom
Crystal system: orthorhombic
Mass density: 8.16 g/cm3

Cell lengths 17.241, 3.851, 3.881 Å; angles 90.00, 90.00, 90.00 degrees
Space group Pnma (No. 62)
One atom of each set of equivalent atoms:
Dy 0.139 0.250 0.234 [4 per cell]
As 0.001 0.250 0.718 [4 per cell]
Se 0.188 0.750 0.735 [4 per cell]


Entry 6:
Below is ErAs after structural relaxation, with properties calculated at the GGA-PBEsol level.

Raw total energy: -6.56 eV/atom
Volume: 184 Å³/cell
Crystal system: cubic
Formation energy: -1540 meV per atom
Mass density: 8.75 g/cm3

Cell lengths 5.687, 5.687, 5.687 Å; angles 90.00, 90.00, 90.00 degrees
Space group Fm-3m (No. 225)
One atom of each set of equivalent atoms:
Er 0.000 0.000 0.000 [4 per cell]
As 0.000 0.000 0.500 [4 per cell]


Entry 7:
Below is Er5Ga2As after structural relaxation, with properties calculated at the GGA-PBEsol level.

Raw total energy: -5.29 eV/atom
Volume: 755 Å³/cell
Crystal system: orthorhombic
Formation energy: -736 meV per atom
Mass density: 9.24 g/cm3

Cell lengths 6.293, 14.428, 8.315 Å; angles 90.00, 90.00, 90.00 degrees
Space group Amm2 (No. 38)
One atom of each set of equivalent atoms:
Er 0.000 0.000 0.000 [2 per cell]
Er 0.000 0.119 0.359 [4 per cell]
Er 0.247 0.167 0.740 [8 per cell]
Er 0.500 0.000 0.480 [2 per cell]
Er 0.500 0.120 0.115 [4 per cell]
Ga 0.000 0.000 0.640 [2 per cell]
Ga 0.000 0.200 0.041 [4 per cell]
Ga 0.500 0.000 0.837 [2 per cell]
As 0.500 0.196 0.435 [4 per cell]


Entry 8:
Below is ErNiAs after structural relaxation, with properties calculated at the GGA-PBEsol level.

Raw total energy: -6.48 eV/atom
Volume: 52 Å³/cell
Crystal system: hexagonal
Formation energy: -1088 meV per atom
Mass density: 9.64 g/cm3

Cell lengths 3.9758, 3.9758, 3.7879 Å; angles 90.00, 90.00, 120.00 degrees
Space group P-6m2 (No. 187)
One atom of each set of equivalent atoms:
Er 0.0000 0.0000 0.0000 [1 per cell]
Ni 0.6667 0.3333 0.5000 [1 per cell]
As 0.3333 0.6667 0.5000 [1 per cell]


Entry 9:
Below is ErNi4As2 after structural relaxation, with properties calculated at the GGA-PBEsol level.

Raw total energy: -6.36 eV/atom
Volume: 188 Å³/cell
Crystal system: tetragonal
Formation energy: -679 meV per atom
Mass density: 9.74 g/cm3

Cell lengths 7.105, 7.105, 3.727 Å; angles 90.00, 90.00, 90.00 degrees
Space group P4_2/mnm (No. 136)
One atom of each set of equivalent atoms:
Er 0.000 0.000 0.000 [2 per cell]
Ni 0.089 0.346 0.500 [8 per cell]
As 0.218 0.782 0.500 [4 per cell]


Entry 10:
Below is Er2Ni12As7 after structural relaxation, with properties calculated at the GGA-PBEsol level.

Raw total energy: -6.27 eV/atom
Volume: 277 Å³/cell
Crystal system: hexagonal
Formation energy: -583 meV per atom
Mass density: 9.37 g/cm3

Cell lengths 9.2174, 9.2174, 3.7672 Å; angles 90.00, 90.00, 120.00 degrees
Space group P-6 (No. 174)
One atom of each set of equivalent atoms:
Er 0.0000 0.0000 0.0000 [1 per cell]
Er 0.3333 0.6667 0.5000 [1 per cell]
Ni 0.0499 0.2765 0.5000 [3 per cell]
Ni 0.0919 0.7098 0.0000 [3 per cell]
Ni 0.4568 0.2190 0.0000 [3 per cell]
Ni 0.5155 0.4631 0.5000 [3 per cell]
As 0.0749 0.4430 0.0000 [3 per cell]
As 0.2635 0.2149 0.5000 [3 per cell]
As 0.6667 0.3333 0.5000 [1 per cell]


Entry 11:
Below is Er2NiAs2 after structural relaxation, with properties calculated at the GGA-PBEsol level.

Raw total energy: -6.51 eV/atom
Volume: 194 Å³/cell
Crystal system: hexagonal
Formation energy: -1267 meV per atom
Mass density: 9.27 g/cm3

Cell lengths 4.0258, 4.0258, 13.8567 Å; angles 90.00, 90.00, 120.00 degrees
Space group P6_3/mmc (No. 194)
One atom of each set of equivalent atoms:
Er 0.3333 0.6667 0.1171 [4 per cell]
Ni 0.0000 0.0000 0.2500 [2 per cell]
As 0.0000 0.0000 0.0000 [2 per cell]
As 0.3333 0.6667 0.7500 [2 per cell]


Entry 12:
Below is ErNiAs after structural relaxation, with properties calculated at the GGA-PBEsol level.

Raw total energy: -6.49 eV/atom
Volume: 103 Å³/cell
Crystal system: hexagonal
Formation energy: -1089 meV per atom
Mass density: 9.70 g/cm3

Cell lengths 3.9856, 3.9856, 7.4918 Å; angles 90.00, 90.00, 120.00 degrees
Space group P6_3/mmc (No. 194)
One atom of each set of equivalent atoms:
Er 0.0000 0.0000 0.0000 [2 per cell]
Ni 0.3333 0.6667 0.2500 [2 per cell]
As 0.3333 0.6667 0.7500 [2 per cell]


Entry 13:
Below is ErAsO4 after structural relaxation, with properties calculated at the GGA-PBEsol level.

Raw total energy: -7.59 eV/atom
Volume: 307 Å³/cell
Formation energy (no corrections): -2.418 eV/atom
Crystal system: tetragonal
Mass density: 6.63 g/cm3

Cell lengths 7.002, 7.002, 6.255 Å; angles 90.00, 90.00, 90.00 degrees
Space group I4_1/amd (No. 141, origin choice 2)
One atom of each set of equivalent atoms:
Er 0.000 0.250 0.375 [4 per cell]
As 0.000 0.250 0.875 [4 per cell]
O 0.000 0.067 0.695 [16 per cell]